Density functional theory data (PBE-GGA) for a geometry-optimized KMgBi2Sb structure.

Cell and atoms, written as CIF:
```
data_KMgBi2Sb
_chemical_formula_sum 'K1 Mg1 Bi2 Sb1'
_space_group_name_H-M_alt 'P 4/m m m'
_space_group_IT_number 123
_space_group_name_Hall '-P 4 2'
_cell_length_a 5.917
_cell_length_b 5.917
_cell_length_c 5.852
_cell_angle_alpha 90.00
_cell_angle_beta 90.00
_cell_angle_gamma 90.00
loop_
_atom_site_label
_atom_site_type_symbol
_atom_site_fract_x
_atom_site_fract_y
_atom_site_fract_z
_atom_site_occupancy
K1 K 0.000 0.000 0.000 1
Mg1 Mg 0.500 0.500 0.500 1
Bi1 Bi 0.000 0.500 0.000 1
Sb1 Sb 0.000 0.000 0.500 1
```

- Total DFT energy (no corrections): -1.880 eV per atom
- Volume: 40.98 Å³ per atom

Density functional theory data (PBE-GGA) for a geometry-optimized KMgBiSe3 structure.

Cell and atoms, written as CIF:
```
data_KMgBiSe3
_chemical_formula_sum 'K2 Mg2 Bi2 Se6'
_space_group_name_H-M_alt 'P 1 21/m 1'
_space_group_IT_number 11
_cell_length_a 9.459
_cell_length_b 4.300
_cell_length_c 9.923
_cell_angle_alpha 90.00
_cell_angle_beta 104.80
_cell_angle_gamma 90.00
loop_
_space_group_symop_operation_xyz
'x,y,z'
'-x,-y,-z'
'-x,y+1/2,-z'
'x,-y+1/2,z'
loop_
_atom_site_label
_atom_site_type_symbol
_atom_site_fract_x
_atom_site_fract_y
_atom_site_fract_z
_atom_site_occupancy
K1 K 0.193 0.250 0.226 1
Mg1 Mg 0.091 0.250 0.606 1
Bi1 Bi 0.339 0.750 0.868 1
Se1 Se 0.124 0.250 0.871 1
Se2 Se 0.192 0.750 0.516 1
Se3 Se 0.444 0.750 0.156 1
```

- Total DFT energy (no corrections): -3.771 eV per atom
- Volume: 32.52 Å³ per atom

Density functional theory data (PBE-GGA) for a geometry-optimized K3MgBi2Se6 structure.

Cell and atoms, written as CIF:
```
data_K3MgBi2Se6
_chemical_formula_sum 'K6 Mg2 Bi4 Se12'
_space_group_name_H-M_alt 'C 1 2/m 1'
_space_group_IT_number 12
_cell_length_a 7.270
_cell_length_b 12.593
_cell_length_c 8.144
_cell_angle_alpha 90.00
_cell_angle_beta 107.36
_cell_angle_gamma 90.00
loop_
_space_group_symop_operation_xyz
'x,y,z'
'-x,-y,-z'
'-x,y,-z'
'x,-y,z'
'x+1/2,y+1/2,z'
'-x+1/2,-y+1/2,-z'
'-x+1/2,y+1/2,-z'
'x+1/2,-y+1/2,z'
loop_
_atom_site_label
_atom_site_type_symbol
_atom_site_fract_x
_atom_site_fract_y
_atom_site_fract_z
_atom_site_occupancy
K1 K 0.000 0.000 0.000 1
K2 K 0.000 0.327 0.000 1
Mg1 Mg 0.000 0.500 0.500 1
Bi1 Bi 0.000 0.166 0.500 1
Se1 Se 0.227 0.341 0.704 1
Se2 Se 0.250 0.000 0.706 1
```

- Total DFT energy (no corrections): -3.650 eV per atom
- Volume: 29.65 Å³ per atom

Density functional theory data (PBE-GGA) for a geometry-optimized KMg2SnBi structure.

Cell and atoms, written as CIF:
```
data_KMg2SnBi
_chemical_formula_sum 'K1 Mg2 Sn1 Bi1'
_space_group_name_H-M_alt 'P 4/m m m'
_space_group_IT_number 123
_space_group_name_Hall '-P 4 2'
_cell_length_a 5.717
_cell_length_b 5.717
_cell_length_c 6.054
_cell_angle_alpha 90.00
_cell_angle_beta 90.00
_cell_angle_gamma 90.00
loop_
_atom_site_label
_atom_site_type_symbol
_atom_site_fract_x
_atom_site_fract_y
_atom_site_fract_z
_atom_site_occupancy
K1 K 0.000 0.000 0.000 1
Mg1 Mg 0.000 0.500 0.000 1
Sn1 Sn 0.500 0.500 0.500 1
Bi1 Bi 0.000 0.000 0.500 1
```

- Formation energy from the elements: 0.97 eV/atom
- Total DFT energy (no corrections): -1.461 eV per atom
- Volume: 39.57 Å³ per atom

Density functional theory data (PBE-GGA) for a geometry-optimized KMgSnBi2 structure.

Cell and atoms, written as CIF:
```
data_KMgSnBi2
_chemical_formula_sum 'K2 Mg2 Sn2 Bi4'
_space_group_name_H-M_alt 'I -4 m 2'
_space_group_IT_number 119
_space_group_name_Hall 'I -4 -2'
_cell_length_a 4.962
_cell_length_b 4.962
_cell_length_c 15.019
_cell_angle_alpha 90.00
_cell_angle_beta 90.00
_cell_angle_gamma 90.00
loop_
_atom_site_label
_atom_site_type_symbol
_atom_site_fract_x
_atom_site_fract_y
_atom_site_fract_z
_atom_site_occupancy
K1 K 0.000 0.000 0.000 1
Mg1 Mg 0.000 0.500 0.250 1
Sn1 Sn 0.000 0.500 0.750 1
Bi1 Bi 0.000 0.000 0.371 1
```

- Formation energy from the elements: -0.23 eV/atom
- Total DFT energy (no corrections): -3.117 eV per atom
- Volume: 36.97 Å³ per atom

Density functional theory data (PBE-GGA) for a geometry-optimized KSr2MgBi structure.

Cell and atoms, written as CIF:
```
data_KSr2MgBi
_chemical_formula_sum 'K1 Sr2 Mg1 Bi1'
_space_group_name_H-M_alt 'P 4/m m m'
_space_group_IT_number 123
_space_group_name_Hall '-P 4 2'
_cell_length_a 6.489
_cell_length_b 6.489
_cell_length_c 5.723
_cell_angle_alpha 90.00
_cell_angle_beta 90.00
_cell_angle_gamma 90.00
loop_
_atom_site_label
_atom_site_type_symbol
_atom_site_fract_x
_atom_site_fract_y
_atom_site_fract_z
_atom_site_occupancy
K1 K 0.000 0.000 0.000 1
Sr1 Sr 0.000 0.500 0.500 1
Mg1 Mg 0.500 0.500 0.500 1
Bi1 Bi 0.500 0.500 0.000 1
```

- Formation energy from the elements: 0.03 eV/atom
- Total DFT energy (no corrections): -1.961 eV per atom
- Volume: 48.20 Å³ per atom

Density functional theory data (PBE-GGA) for a geometry-optimized KMgBiTe3 structure.

Cell and atoms, written as CIF:
```
data_KMgBiTe3
_chemical_formula_sum 'K2 Mg2 Bi2 Te6'
_space_group_name_H-M_alt 'P 1 21/m 1'
_space_group_IT_number 11
_cell_length_a 9.948
_cell_length_b 4.564
_cell_length_c 10.582
_cell_angle_alpha 90.00
_cell_angle_beta 106.14
_cell_angle_gamma 90.00
loop_
_space_group_symop_operation_xyz
'x,y,z'
'-x,-y,-z'
'-x,y+1/2,-z'
'x,-y+1/2,z'
loop_
_atom_site_label
_atom_site_type_symbol
_atom_site_fract_x
_atom_site_fract_y
_atom_site_fract_z
_atom_site_occupancy
K1 K 0.200 0.250 0.237 1
Mg1 Mg 0.086 0.250 0.609 1
Bi1 Bi 0.333 0.750 0.871 1
Te1 Te 0.113 0.250 0.878 1
Te2 Te 0.207 0.750 0.525 1
Te3 Te 0.455 0.750 0.163 1
```

- Total DFT energy (no corrections): -3.369 eV per atom
- Volume: 38.46 Å³ per atom

Density functional theory data (PBE-GGA) for a geometry-optimized K2Mg5Tl2Bi3 structure.

Cell and atoms, written as CIF:
```
data_K2Mg5Tl2Bi3
_chemical_formula_sum 'K4 Mg10 Tl4 Bi6'
_space_group_name_H-M_alt 'I 4/m m m'
_space_group_IT_number 139
_space_group_name_Hall '-I 4 2'
_cell_length_a 4.703
_cell_length_b 4.703
_cell_length_c 38.063
_cell_angle_alpha 90.00
_cell_angle_beta 90.00
_cell_angle_gamma 90.00
loop_
_atom_site_label
_atom_site_type_symbol
_atom_site_fract_x
_atom_site_fract_y
_atom_site_fract_z
_atom_site_occupancy
K1 K 0.000 0.000 0.203 1
Mg1 Mg 0.000 0.000 0.000 1
Mg2 Mg 0.000 0.500 0.060 1
Tl1 Tl 0.000 0.000 0.114 1
Bi1 Bi 0.000 0.000 0.381 1
Bi2 Bi 0.000 0.000 0.500 1
```

- Formation energy from the elements: -0.08 eV/atom
- Total DFT energy (no corrections): -2.292 eV per atom
- Volume: 35.07 Å³ per atom

Density functional theory data (PBE-GGA) for a geometry-optimized K2Mg3TlBi4 structure.

Cell and atoms, written as CIF:
```
data_K2Mg3TlBi4
_chemical_formula_sum 'K2 Mg3 Tl1 Bi4'
_space_group_name_H-M_alt 'P -4 m 2'
_space_group_IT_number 115
_cell_length_a 5.337
_cell_length_b 5.337
_cell_length_c 12.056
_cell_angle_alpha 90.00
_cell_angle_beta 90.00
_cell_angle_gamma 90.00
loop_
_space_group_symop_operation_xyz
'x,y,z'
'y,-x,-z'
'-x,-y,z'
'-y,x,-z'
'-x,y,z'
'-y,-x,-z'
'x,-y,z'
'y,x,-z'
loop_
_atom_site_label
_atom_site_type_symbol
_atom_site_fract_x
_atom_site_fract_y
_atom_site_fract_z
_atom_site_occupancy
K1 K 0.000 0.500 0.241 1
Mg1 Mg 0.000 0.500 0.878 1
Mg2 Mg 0.500 0.500 0.500 1
Tl1 Tl 0.000 0.000 0.500 1
Bi1 Bi 0.000 0.000 0.000 1
Bi2 Bi 0.000 0.500 0.635 1
Bi3 Bi 0.500 0.500 0.000 1
```

- Formation energy from the elements: -0.27 eV/atom
- Total DFT energy (no corrections): -2.755 eV per atom
- Volume: 34.34 Å³ per atom

Density functional theory data (PBE-GGA) for a geometry-optimized KMgBi2W structure.

Cell and atoms, written as CIF:
```
data_KMgBi2W
_chemical_formula_sum 'K1 Mg1 Bi2 W1'
_space_group_name_H-M_alt 'P 4/m m m'
_space_group_IT_number 123
_space_group_name_Hall '-P 4 2'
_cell_length_a 5.870
_cell_length_b 5.870
_cell_length_c 5.543
_cell_angle_alpha 90.00
_cell_angle_beta 90.00
_cell_angle_gamma 90.00
loop_
_atom_site_label
_atom_site_type_symbol
_atom_site_fract_x
_atom_site_fract_y
_atom_site_fract_z
_atom_site_occupancy
K1 K 0.000 0.000 0.000 1
Mg1 Mg 0.500 0.500 0.500 1
Bi1 Bi 0.000 0.500 0.000 1
W1 W 0.000 0.000 0.500 1
```

- Formation energy from the elements: 2.10 eV/atom
- Total DFT energy (no corrections): -2.580 eV per atom
- Volume: 38.19 Å³ per atom